Entry 1:
The following is a DFT calculation (PBE-GGA) of a relaxed structure of SrLiH3.

The structure in POSCAR format:
```
SrLiH3
1.0
-1.1397 6.1084 -14.8380
2.2069 0.7260 -7.0841
-2.3010 -4.3526 5.5983
Sr H Li
2 6 2
Direct
0.9137 0.9611 0.0389
0.0863 0.0389 0.9611
0.7834 0.2492 0.7508
0.2166 0.7508 0.2492
0.0852 0.2234 0.7766
0.9148 0.7766 0.2234
0.4589 0.7261 0.2739
0.5411 0.2739 0.7261
0.6034 0.0802 0.9198
0.3966 0.9198 0.0802
```

**Excess energy over the best structure of this formula in the dataset**: 5.98 kcal/mol of atoms
**Magnetic moment**: 0.000 μB per formula unit
**E**: -2.999 eV per atom

---

Entry 2:
The following is a DFT calculation (PBE-GGA) of a relaxed structure of Y2SbMo.

The structure in POSCAR format:
```
Y2SbMo
1.0
4.8598 -0.0010 0.0080
0.0007 4.8598 0.0080
-0.0064 -0.0064 3.9890
Mo Sb Y
1 1 2
Direct
0.5000 0.0000 0.5000
0.0000 0.5000 0.5000
0.0000 0.0000 0.0000
0.5000 0.5000 0.0000
```

**ΔE_f (raw)**: -0.179 eV/atom
**Magnetic moment**: 0.000 μB per formula unit
**E**: -7.149 eV per atom

---

Entry 3:
The following is a DFT calculation (PBE-GGA) of a relaxed structure of BaRuCl.

The structure in POSCAR format:
```
BaRuCl
1.0
-6.3032 1.1849 2.7608
-4.4094 -0.2150 5.4095
0.2635 3.1991 1.5026
Ba Cl Ru
1 1 1
Direct
0.9899 0.9896 0.0101
0.3391 0.3389 0.6609
0.6710 0.6715 0.3290
```

**Excess energy over the best structure of this formula in the dataset**: 6.91 kcal/mol of atoms
**ΔE_f (raw)**: 0.210 eV/atom
**Magnetic moment**: 2.007 μB per formula unit
**E**: -4.139 eV per atom

---

Entry 4:
The following is a DFT calculation (PBE-GGA) of a relaxed structure of Ac3YHg6.

The structure in POSCAR format:
```
Ac3YHg6
1.0
5.4165 0.0000 0.0000
0.0000 9.3293 -3.1234
0.0000 -0.1132 11.8980
Ac Y Hg
6 2 12
Direct
0.2500 0.5076 0.3808
0.7500 0.4924 0.6192
0.2500 0.3446 0.7799
0.7500 0.6554 0.2201
0.2500 0.7798 0.9907
0.7500 0.2202 0.0093
0.2500 0.9394 0.5875
0.7500 0.0606 0.4125
0.2500 0.4701 0.0814
0.7500 0.5299 0.9186
0.2500 0.1501 0.1722
0.7500 0.8499 0.8278
0.2500 0.6862 0.6941
0.7500 0.3138 0.3059
0.2500 0.2293 0.4857
0.7500 0.7707 0.5143
0.2500 0.8748 0.3089
0.7500 0.1252 0.6911
0.2500 0.0441 0.8641
0.7500 0.9559 0.1359
```

**Magnetic moment**: 0.000 μB per formula unit
**E**: -2.485 eV per atom
**Energy of formation from the pure elements**: -0.42 eV per atom

---

Entry 5:
The following is a DFT calculation (PBE-GGA) of a relaxed structure of Co2TeH2.

The structure in POSCAR format:
```
Co2TeH2
1.0
3.1320 0.0000 0.0000
0.0000 3.1320 0.0000
1.5660 1.5660 4.9912
H Te Co
2 1 2
Direct
0.7500 0.2500 0.5000
0.2500 0.7500 0.5000
0.0000 0.0000 0.0000
0.3365 0.3365 0.3270
0.6635 0.6635 0.6730
```

**Magnetic moment**: 0.000 μB per formula unit
**E**: -4.573 eV per atom

---

Entry 6:
The following is a DFT calculation (PBE-GGA) of a relaxed structure of BaNa2RhCl8.

The structure in POSCAR format:
```
BaNa2RhCl8
1.0
5.8973 -0.3041 -0.0018
-0.2803 6.4626 0.0001
0.0071 0.0192 8.7455
Ba Na Rh Cl
1 2 1 8
Direct
0.0000 0.0000 0.5000
0.4996 0.4987 0.7652
0.5004 0.5013 0.2348
0.0000 0.0000 0.0000
0.1232 0.7797 0.1935
0.6534 0.7945 0.9993
0.8749 0.2190 0.1929
0.8768 0.2203 0.8065
0.3466 0.2055 0.0007
0.1251 0.7810 0.8071
0.5237 0.7487 0.5002
0.4763 0.2513 0.4998
```

**ΔE_f (raw)**: -1.353 eV/atom
**Magnetic moment**: 0.814 μB per formula unit
**E**: -3.577 eV per atom

---

Entry 7:
The following is a DFT calculation (PBE-GGA) of a relaxed structure of Tl2Hg6Bi.

The structure in POSCAR format:
```
Tl2Hg6Bi
1.0
6.2142 0.0000 0.0000
0.0000 6.2142 0.0000
-3.1071 -3.1071 7.5303
Tl Hg Bi
2 6 1
Direct
0.2773 0.2773 0.5545
0.7227 0.7227 0.4455
0.9038 0.2549 0.1587
0.7451 0.7451 0.8413
0.2549 0.9038 0.1587
0.0962 0.0962 0.8413
0.7500 0.2500 0.5000
0.2500 0.7500 0.5000
0.5000 0.5000 0.0000
```

**Excess energy over the best structure of this formula in the dataset**: 0.76 kcal/mol of atoms
**Magnetic moment**: 0.000 μB per formula unit
**E**: -1.078 eV per atom
**Energy of formation from the pure elements**: 0.08 eV per atom

---

Entry 8:
The following is a DFT calculation (PBE-GGA) of a relaxed structure of LiCdIr2.

The structure in POSCAR format:
```
LiCdIr2
1.0
-3.9955 -0.3935 -2.1677
-0.1828 -4.5505 -0.2799
0.6797 2.3677 3.8406
Cd Ir Li
1 2 1
Direct
0.7500 0.2500 0.5000
0.0000 0.0000 0.0000
0.2500 0.7500 0.5000
0.5000 0.5000 0.0000
```

**Magnetic moment**: 0.010 μB per formula unit
**E**: -5.029 eV per atom
**Energy of formation from the pure elements**: 0.11 eV per atom